{
  "formula": "KHf2ScN",
  "functional": "SCAN",
  "state": "PBEsol geometry",
  "crystal_system": "tetragonal",
  "dft_energy_ry_per_atom": -2.142,
  "e_form_raw_ev_per_atom": 2.291,
  "rho_g_cm3": 7.20,
  "total_magnetization_mub_per_cell": 0.00,
  "dos_at_fermi_per_ev_cell": 4.7,
  "lattice_angstrom": [[-4.0653, 1.2399, -1.4658], [-2.0422, -2.2675, 3.7457], [0.2937, 4.0528, 2.6136]],
  "species": ["Sc", "Hf", "Hf", "N", "K"],
  "frac_coords": [[0.5000, 0.5000, 0.5000], [0.0000, 0.5000, 0.0000], [0.0000, 0.0000, 0.5000], [0.5000, 0.0000, 0.0000], [0.0000, 0.0000, 0.0000]]
}

***

{
  "formula": "KNa3Hf",
  "functional": "SCAN",
  "state": "PBEsol geometry",
  "crystal_system": "cubic",
  "dft_energy_ry_per_atom": -1.151,
  "rho_g_cm3": 1.94,
  "total_magnetization_mub_per_cell": 4.04,
  "dos_at_fermi_per_ev_cell": 8.7,
  "e_form_mev_per_atom": 1067.2,
  "lattice_angstrom": [[-5.6846, -2.4231, 1.0004], [1.5566, -1.1977, 5.9439], [-2.1094, 5.6463, 1.6902]],
  "species": ["K", "Hf", "Na", "Na", "Na"],
  "frac_coords": [[0.5000, 0.5000, 0.5000], [0.0000, 0.0000, 0.0000], [0.5000, 0.0000, 0.0000], [0.0000, 0.5000, 0.0000], [0.0000, 0.0000, 0.5000]]
}

***

{
  "formula": "KNaHf2O",
  "functional": "SCAN",
  "state": "PBEsol geometry",
  "crystal_system": "tetragonal",
  "dft_energy_ry_per_atom": -2.142,
  "e_form_raw_ev_per_atom": -0.323,
  "rho_g_cm3": 6.16,
  "total_magnetization_mub_per_cell": 0.00,
  "dos_at_fermi_per_ev_cell": 4.5,
  "lattice_angstrom": [[-3.7425, -0.5645, 2.0061], [2.0127, 0.0911, 3.7802], [-0.8066, 6.3317, 0.2769]],
  "species": ["Hf", "Hf", "O", "K", "Na"],
  "frac_coords": [[0.0000, 0.5000, 0.0000], [0.5000, 0.0000, 0.0000], [0.0000, 0.0000, 0.0000], [0.5000, 0.5000, 0.5000], [0.0000, 0.0000, 0.5000]]
}

***

{
  "formula": "KNa2HfSn",
  "functional": "SCAN",
  "state": "PBEsol geometry",
  "crystal_system": "tetragonal",
  "dft_energy_ry_per_atom": -1.665,
  "rho_g_cm3": 3.30,
  "total_magnetization_mub_per_cell": 0.67,
  "dos_at_fermi_per_ev_cell": 2.6,
  "e_form_mev_per_atom": 423.9,
  "lattice_angstrom": [[5.5410, 0.0000, 0.0000], [0.0000, 5.8889, 0.0000], [0.0000, 0.0000, 5.8889]],
  "species": ["Na", "Na", "K", "Hf", "Sn"],
  "frac_coords": [[0.0000, 0.0000, 0.5000], [0.0000, 0.5000, 0.0000], [0.5000, 0.5000, 0.5000], [0.5000, 0.0000, 0.0000], [0.0000, 0.0000, 0.0000]]
}

***

{
  "formula": "KHf3Nb",
  "functional": "SCAN",
  "state": "PBEsol geometry",
  "crystal_system": "cubic",
  "dft_energy_ry_per_atom": -3.293,
  "rho_g_cm3": 7.92,
  "total_magnetization_mub_per_cell": 0.00,
  "dos_at_fermi_per_ev_cell": 6.9,
  "e_form_mev_per_atom": 1097.6,
  "lattice_angstrom": [[-2.0573, -4.4217, 1.7803], [2.0755, -2.5765, -4.0009], [4.2910, -0.8737, 2.7887]],
  "species": ["Hf", "Hf", "Hf", "Nb", "K"],
  "frac_coords": [[0.5000, 0.0000, 0.0000], [0.0000, 0.5000, 0.0000], [0.0000, 0.0000, 0.5000], [0.0000, 0.0000, 0.0000], [0.5000, 0.5000, 0.5000]]
}

***

{
  "formula": "KHfNi",
  "functional": "SCAN",
  "state": "PBEsol geometry",
  "crystal_system": "cubic",
  "dft_energy_ry_per_atom": -1.983,
  "rho_g_cm3": 7.40,
  "total_magnetization_mub_per_cell": 0.00,
  "dos_at_fermi_per_ev_cell": 2.4,
  "e_form_mev_per_atom": 2083.3,
  "lattice_angstrom": [[4.4418, 0.0000, 0.0000], [2.2209, 3.8467, 0.0000], [2.2209, 1.2822, 3.6267]],
  "species": ["Hf", "Ni", "K"],
  "frac_coords": [[0.5000, 0.5000, 0.5000], [0.0000, 0.0000, 0.0000], [0.7500, 0.7500, 0.7500]]
}